[1]
# Ca2ReIr2

A relaxed Ca2ReIr2 crystal (PBE, Alexandria via LeMat-Bulk).

Spin magnetization   1.01 μB per formula unit
Space group   P4/mbm (127)
DOS at the Fermi energy   0.8602 states/eV/atom
Total energy   -6.096 eV/atom

```
data_Ca2ReIr2
_cell_length_a 7.9548
_cell_length_b 7.9548
_cell_length_c 2.9219
_cell_angle_alpha 90.00
_cell_angle_beta 90.00
_cell_angle_gamma 90.00
_symmetry_space_group_name_H-M 'P 1'
_symmetry_Int_Tables_number 1
_symmetry_space_group_name_Hall 'P 1'
loop_
_atom_site_label
_atom_site_type_symbol
_atom_site_fract_x
_atom_site_fract_y
_atom_site_fract_z
Re1 Re 0.0000 0.0000 0.0000
Re2 Re 0.5000 0.5000 0.0000
Ca1 Ca 0.3780 0.8780 0.0000
Ca2 Ca 0.8780 0.6220 0.0000
Ca3 Ca 0.6220 0.1220 0.0000
Ca4 Ca 0.1220 0.3780 0.0000
Ir1 Ir 0.1849 0.6849 0.5000
Ir2 Ir 0.6849 0.8151 0.5000
Ir3 Ir 0.8151 0.3151 0.5000
Ir4 Ir 0.3151 0.1849 0.5000
```


[2]
# Ce2GdIn

A relaxed Ce2GdIn crystal (PBE, Alexandria via LeMat-Bulk).

Spin magnetization   5.69 μB per formula unit
Space group   P4/mmm (123)
DOS at the Fermi energy   2.9993 states/eV/atom
Total energy   -7.369 eV/atom

```
data_Ce2GdIn
_cell_length_a 5.1047
_cell_length_b 4.6863
_cell_length_c 4.6863
_cell_angle_alpha 90.00
_cell_angle_beta 90.00
_cell_angle_gamma 90.00
_symmetry_space_group_name_H-M 'P 1'
_symmetry_Int_Tables_number 1
_symmetry_space_group_name_Hall 'P 1'
loop_
_atom_site_label
_atom_site_type_symbol
_atom_site_fract_x
_atom_site_fract_y
_atom_site_fract_z
Gd1 Gd 0.5000 0.5000 0.5000
Ce1 Ce 0.0000 0.0000 0.5000
Ce2 Ce 0.0000 0.5000 0.0000
In1 In 0.5000 0.0000 0.0000
```


[3]
# Pr3Ge2Pb2

A relaxed Pr3Ge2Pb2 crystal (PBE, Alexandria via LeMat-Bulk).

Spin magnetization   0.00 μB per formula unit
Space group   C2/m (12)
DOS at the Fermi energy   0.5199 states/eV/atom
Total energy   -5.015 eV/atom

```
data_Pr3Ge2Pb2
_cell_length_a 4.5469
_cell_length_b 6.3036
_cell_length_c 8.1671
_cell_angle_alpha 111.75
_cell_angle_beta 90.00
_cell_angle_gamma 111.14
_symmetry_space_group_name_H-M 'P 1'
_symmetry_Int_Tables_number 1
_symmetry_space_group_name_Hall 'P 1'
loop_
_atom_site_label
_atom_site_type_symbol
_atom_site_fract_x
_atom_site_fract_y
_atom_site_fract_z
Pr1 Pr 0.3224 0.6448 0.3465
Pr2 Pr 0.6776 0.3552 0.6535
Pr3 Pr 0.5000 0.0000 0.0000
Ge1 Ge 0.7980 0.5959 0.0749
Ge2 Ge 0.2020 0.4041 0.9251
Pb1 Pb 0.9511 0.9022 0.6630
Pb2 Pb 0.0489 0.0978 0.3370
```


[4]
# Y2Ni3Ge4

A relaxed Y2Ni3Ge4 crystal (PBE, Alexandria via LeMat-Bulk).

Spin magnetization   0.00 μB per formula unit
Space group   Cmce (64)
DOS at the Fermi energy   0.6005 states/eV/atom
Total energy   -6.046 eV/atom

```
data_Y2Ni3Ge4
_cell_length_a 5.5851
_cell_length_b 7.2607
_cell_length_c 7.7917
_cell_angle_alpha 90.00
_cell_angle_beta 111.00
_cell_angle_gamma 90.00
_symmetry_space_group_name_H-M 'P 1'
_symmetry_Int_Tables_number 1
_symmetry_space_group_name_Hall 'P 1'
loop_
_atom_site_label
_atom_site_type_symbol
_atom_site_fract_x
_atom_site_fract_y
_atom_site_fract_z
Y1 Y 0.1104 0.5939 0.2207
Y2 Y 0.8896 0.4061 0.7793
Y3 Y 0.3896 0.0939 0.7793
Y4 Y 0.6104 0.9061 0.2207
Ni1 Ni 0.0000 0.0000 0.0000
Ni2 Ni 0.5000 0.5000 0.0000
Ni3 Ni 0.5250 0.7500 0.5500
Ni4 Ni 0.9750 0.2500 0.4500
Ni5 Ni 0.4750 0.2500 0.4500
Ni6 Ni 0.0250 0.7500 0.5500
Ge1 Ge 0.6912 0.7500 0.8824
Ge2 Ge 0.8088 0.2500 0.1176
Ge3 Ge 0.3088 0.2500 0.1176
Ge4 Ge 0.1912 0.7500 0.8824
Ge5 Ge 0.1842 0.9752 0.3685
Ge6 Ge 0.8158 0.0248 0.6315
Ge7 Ge 0.3158 0.4752 0.6315
Ge8 Ge 0.6842 0.5248 0.3685
```


[5]
# TaCu2Hg

A relaxed TaCu2Hg crystal (PBE, Alexandria via LeMat-Bulk).

Spin magnetization   0.00 μB per formula unit
Space group   C2/m (12)
DOS at the Fermi energy   0.3640 states/eV/atom
Total energy   -4.789 eV/atom

```
data_TaCu2Hg
_cell_length_a 4.6608
_cell_length_b 4.6608
_cell_length_c 5.3704
_cell_angle_alpha 83.62
_cell_angle_beta 83.62
_cell_angle_gamma 34.57
_symmetry_space_group_name_H-M 'P 1'
_symmetry_Int_Tables_number 1
_symmetry_space_group_name_Hall 'P 1'
loop_
_atom_site_label
_atom_site_type_symbol
_atom_site_fract_x
_atom_site_fract_y
_atom_site_fract_z
Cu1 Cu 0.9967 0.9967 0.0381
Cu2 Cu 0.5033 0.5033 0.4619
Hg1 Hg 0.7500 0.7500 0.7500
Ta1 Ta 0.2500 0.2500 0.2500
```


[6]
# Mg3ScCd12

A relaxed Mg3ScCd12 crystal (PBE, Alexandria via LeMat-Bulk).

Spin magnetization   0.00 μB per formula unit
Space group   P4/mmm (123)
DOS at the Fermi energy   0.4276 states/eV/atom
Total energy   -1.482 eV/atom

```
data_Mg3ScCd12
_cell_length_a 4.4805
_cell_length_b 4.4805
_cell_length_c 17.4647
_cell_angle_alpha 90.00
_cell_angle_beta 90.00
_cell_angle_gamma 90.00
_symmetry_space_group_name_H-M 'P 1'
_symmetry_Int_Tables_number 1
_symmetry_space_group_name_Hall 'P 1'
loop_
_atom_site_label
_atom_site_type_symbol
_atom_site_fract_x
_atom_site_fract_y
_atom_site_fract_z
Mg1 Mg 0.0000 0.0000 0.2495
Mg2 Mg 0.0000 0.0000 0.5000
Mg3 Mg 0.0000 0.0000 0.7505
Sc1 Sc 0.0000 0.0000 0.0000
Cd1 Cd 0.5000 0.5000 0.0000
Cd2 Cd 0.5000 0.5000 0.2511
Cd3 Cd 0.5000 0.5000 0.5000
Cd4 Cd 0.5000 0.5000 0.7489
Cd5 Cd 0.5000 0.0000 0.1255
Cd6 Cd 0.5000 0.0000 0.3748
Cd7 Cd 0.5000 0.0000 0.6252
Cd8 Cd 0.5000 0.0000 0.8745
Cd9 Cd 0.0000 0.5000 0.1255
Cd10 Cd 0.0000 0.5000 0.3748
Cd11 Cd 0.0000 0.5000 0.6252
Cd12 Cd 0.0000 0.5000 0.8745
```


[7]
# RbZr2Rh

A relaxed RbZr2Rh crystal (PBE, Alexandria via LeMat-Bulk).

Spin magnetization   0.00 μB per formula unit
Space group   Fm-3m (225)
DOS at the Fermi energy   0.8333 states/eV/atom
Total energy   -5.667 eV/atom

```
data_RbZr2Rh
_cell_length_a 4.9687
_cell_length_b 4.9687
_cell_length_c 4.9687
_cell_angle_alpha 60.00
_cell_angle_beta 60.00
_cell_angle_gamma 60.00
_symmetry_space_group_name_H-M 'P 1'
_symmetry_Int_Tables_number 1
_symmetry_space_group_name_Hall 'P 1'
loop_
_atom_site_label
_atom_site_type_symbol
_atom_site_fract_x
_atom_site_fract_y
_atom_site_fract_z
Rh1 Rh 0.5000 0.5000 0.5000
Rb1 Rb 0.0000 0.0000 0.0000
Zr1 Zr 0.2500 0.2500 0.2500
Zr2 Zr 0.7500 0.7500 0.7500
```


[8]
# CsBaGa2Br8

A relaxed CsBaGa2Br8 crystal (PBE, Alexandria via LeMat-Bulk).

E_form (uncorrected)   -1.24 eV per atom
Spin magnetization   0.64 μB per formula unit
Space group   R-3 (148)
DOS at the Fermi energy   0.6332 states/eV/atom

```
data_CsBaGa2Br8
_cell_length_a 7.2921
_cell_length_b 7.2921
_cell_length_c 11.3037
_cell_angle_alpha 71.18
_cell_angle_beta 71.18
_cell_angle_gamma 60.00
_symmetry_space_group_name_H-M 'P 1'
_symmetry_Int_Tables_number 1
_symmetry_space_group_name_Hall 'P 1'
loop_
_atom_site_label
_atom_site_type_symbol
_atom_site_fract_x
_atom_site_fract_y
_atom_site_fract_z
Cs1 Cs 0.5000 0.5000 0.5000
Ba1 Ba 0.0000 0.0000 0.0000
Ga1 Ga 0.2460 0.2460 0.2620
Ga2 Ga 0.7540 0.7540 0.7380
Br1 Br 0.1694 0.1694 0.4919
Br2 Br 0.5766 0.3065 0.1840
Br3 Br 0.8306 0.8306 0.5081
Br4 Br 0.9329 0.5766 0.1840
Br5 Br 0.0671 0.4234 0.8160
Br6 Br 0.3065 0.9329 0.1840
Br7 Br 0.6935 0.0671 0.8160
Br8 Br 0.4234 0.6935 0.8160
```


[9]
# PPdRuO2

A relaxed PPdRuO2 crystal (PBE, Alexandria via LeMat-Bulk).

E_form (uncorrected)   -0.27 eV per atom
Spin magnetization   0.22 μB per formula unit
Space group   P4/mmm (123)
DOS at the Fermi energy   0.8193 states/eV/atom

```
data_PPdRuO2
_cell_length_a 3.6697
_cell_length_b 3.6697
_cell_length_c 5.4349
_cell_angle_alpha 90.00
_cell_angle_beta 90.00
_cell_angle_gamma 90.00
_symmetry_space_group_name_H-M 'P 1'
_symmetry_Int_Tables_number 1
_symmetry_space_group_name_Hall 'P 1'
loop_
_atom_site_label
_atom_site_type_symbol
_atom_site_fract_x
_atom_site_fract_y
_atom_site_fract_z
Ru1 Ru 0.0000 0.0000 0.0000
O1 O 0.0000 0.5000 0.0000
O2 O 0.5000 0.0000 0.0000
Pd1 Pd 0.5000 0.5000 0.5000
P1 P 0.0000 0.0000 0.5000
```


[10]
# Dy3TmN

A relaxed Dy3TmN crystal (PBE, Alexandria via LeMat-Bulk).

E_form (uncorrected)   -0.53 eV per atom
Spin magnetization   0.00 μB per formula unit
Space group   Pm-3m (221)
DOS at the Fermi energy   1.1263 states/eV/atom

```
data_Dy3TmN
_cell_length_a 4.9444
_cell_length_b 4.9444
_cell_length_c 4.9444
_cell_angle_alpha 90.00
_cell_angle_beta 90.00
_cell_angle_gamma 90.00
_symmetry_space_group_name_H-M 'P 1'
_symmetry_Int_Tables_number 1
_symmetry_space_group_name_Hall 'P 1'
loop_
_atom_site_label
_atom_site_type_symbol
_atom_site_fract_x
_atom_site_fract_y
_atom_site_fract_z
N1 N 0.0000 0.0000 0.0000
Tm1 Tm 0.5000 0.5000 0.5000
Dy1 Dy 0.0000 0.5000 0.0000
Dy2 Dy 0.0000 0.0000 0.5000
Dy3 Dy 0.5000 0.0000 0.0000
```


[11]
# TcPb4Cl

A relaxed TcPb4Cl crystal (PBE, Alexandria via LeMat-Bulk).

E_form (uncorrected)   0.68 eV per atom
Spin magnetization   3.62 μB per formula unit
Space group   F-43m (216)
DOS at the Fermi energy   0.4972 states/eV/atom

```
data_TcPb4Cl
_cell_length_a 6.3616
_cell_length_b 6.3616
_cell_length_c 6.3616
_cell_angle_alpha 60.00
_cell_angle_beta 60.00
_cell_angle_gamma 60.00
_symmetry_space_group_name_H-M 'P 1'
_symmetry_Int_Tables_number 1
_symmetry_space_group_name_Hall 'P 1'
loop_
_atom_site_label
_atom_site_type_symbol
_atom_site_fract_x
_atom_site_fract_y
_atom_site_fract_z
Tc1 Tc 0.7500 0.7500 0.7500
Pb1 Pb 0.8732 0.3756 0.3756
Pb2 Pb 0.3756 0.3756 0.8732
Pb3 Pb 0.3756 0.8732 0.3756
Pb4 Pb 0.3756 0.3756 0.3756
Cl1 Cl 0.0000 0.0000 0.0000
```


[12]
# Cu2BBr6

A relaxed Cu2BBr6 crystal (PBE, Alexandria via LeMat-Bulk).

E_form (uncorrected)   -0.35 eV per atom
Spin magnetization   1.02 μB per formula unit
Space group   C2/c (15)
DOS at the Fermi energy   0.9969 states/eV/atom

```
data_Cu2BBr6
_cell_length_a 6.8697
_cell_length_b 9.6719
_cell_length_c 9.6719
_cell_angle_alpha 87.09
_cell_angle_beta 69.03
_cell_angle_gamma 69.03
_symmetry_space_group_name_H-M 'P 1'
_symmetry_Int_Tables_number 1
_symmetry_space_group_name_Hall 'P 1'
loop_
_atom_site_label
_atom_site_type_symbol
_atom_site_fract_x
_atom_site_fract_y
_atom_site_fract_z
Cu1 Cu 0.0205 0.6718 0.8201
Cu2 Cu 0.4795 0.1799 0.3282
Cu3 Cu 0.9795 0.3282 0.1799
Cu4 Cu 0.5205 0.8201 0.6718
B1 B 0.2500 0.2456 0.7544
B2 B 0.7500 0.7544 0.2456
Br1 Br 0.1820 0.8279 0.6576
Br2 Br 0.3180 0.3424 0.1721
Br3 Br 0.8180 0.1721 0.3424
Br4 Br 0.6820 0.6576 0.8279
Br5 Br 0.8412 0.7594 0.4229
Br6 Br 0.6588 0.5771 0.2406
Br7 Br 0.1588 0.2406 0.5771
Br8 Br 0.3412 0.4229 0.7594
Br9 Br 0.0234 0.7484 0.0662
Br10 Br 0.4766 0.9338 0.2516
Br11 Br 0.9766 0.2516 0.9338
Br12 Br 0.5234 0.0662 0.7484
```


> The lowest DOS at the Fermi energy belongs to which entry?

TaCu2Hg


> Number 12 is which compound?

Cu2BBr6